Model A:
A crystal of Li4Ti5O12 relaxed with PBEsol, computed with SCAN.

Properties
Its theoretical density is 3.52 g/cm3. Its calculated volume is 10.30 Å³ per atom.

abc: 5.883 5.883 13.143
angles: 102.66 102.66 89.76
Sites, in units of the cell vectors:
Li (0.000, 0.500, 0.500)
Li (0.127, 0.873, 0.750)
Li (0.198, 0.464, 0.916)
Li (0.464, 0.198, 0.416)
Li (0.500, 0.000, 0.000)
Li (0.536, 0.802, 0.584)
Li (0.802, 0.536, 0.084)
Li (0.873, 0.127, 0.250)
Ti (0.000, 0.000, 0.000)
Ti (0.000, 0.000, 0.500)
Ti (0.164, 0.657, 0.337)
Ti (0.331, 0.337, 0.657)
Ti (0.337, 0.331, 0.157)
Ti (0.343, 0.836, 0.163)
Ti (0.657, 0.164, 0.837)
Ti (0.663, 0.669, 0.843)
Ti (0.669, 0.663, 0.343)
Ti (0.836, 0.343, 0.663)
O (0.083, 0.102, 0.658)
O (0.088, 0.548, 0.669)
O (0.102, 0.083, 0.158)
O (0.118, 0.589, 0.177)
O (0.224, 0.758, 0.487)
O (0.239, 0.241, 0.510)
O (0.241, 0.239, 0.010)
O (0.242, 0.776, 0.013)
O (0.411, 0.882, 0.323)
O (0.413, 0.439, 0.328)
O (0.439, 0.413, 0.828)
O (0.452, 0.912, 0.831)
O (0.548, 0.088, 0.169)
O (0.561, 0.587, 0.172)
O (0.587, 0.561, 0.672)
O (0.589, 0.118, 0.677)
O (0.758, 0.224, 0.987)
O (0.759, 0.761, 0.990)
O (0.761, 0.759, 0.490)
O (0.776, 0.242, 0.513)
O (0.882, 0.411, 0.823)
O (0.898, 0.917, 0.842)
O (0.912, 0.452, 0.331)
O (0.917, 0.898, 0.342)

Model B:
A crystal of Li4Ti5O12 relaxed with PBEsol, computed with SCAN.

Properties
Its theoretical density is 3.46 g/cm3. Its calculated volume is 10.50 Å³ per atom.

abc: 5.216 9.302 9.763
angles: 73.32 78.88 79.26
Sites, in units of the cell vectors:
Li (0.124, 0.412, 0.405)
Li (0.272, 0.905, 0.023)
Li (0.312, 0.775, 0.554)
Li (0.331, 0.574, 0.114)
Li (0.669, 0.426, 0.886)
Li (0.688, 0.225, 0.446)
Li (0.728, 0.095, 0.977)
Li (0.876, 0.588, 0.595)
Ti (0.139, 0.596, 0.849)
Ti (0.160, 0.099, 0.675)
Ti (0.192, 0.257, 0.934)
Ti (0.291, 0.102, 0.276)
Ti (0.432, 0.411, 0.646)
Ti (0.568, 0.589, 0.354)
Ti (0.709, 0.898, 0.724)
Ti (0.808, 0.743, 0.066)
Ti (0.840, 0.901, 0.325)
Ti (0.861, 0.404, 0.151)
O (0.052, 0.263, 0.304)
O (0.060, 0.425, 0.777)
O (0.102, 0.098, 0.862)
O (0.143, 0.930, 0.379)
O (0.158, 0.731, 0.953)
O (0.237, 0.423, 0.012)
O (0.263, 0.570, 0.485)
O (0.313, 0.261, 0.567)
O (0.351, 0.100, 0.089)
O (0.394, 0.928, 0.656)
O (0.459, 0.577, 0.730)
O (0.472, 0.731, 0.185)
O (0.528, 0.269, 0.815)
O (0.541, 0.423, 0.270)
O (0.606, 0.072, 0.344)
O (0.649, 0.900, 0.911)
O (0.687, 0.739, 0.433)
O (0.737, 0.430, 0.515)
O (0.763, 0.577, 0.988)
O (0.842, 0.269, 0.047)
O (0.857, 0.070, 0.621)
O (0.898, 0.902, 0.138)
O (0.940, 0.575, 0.223)
O (0.948, 0.737, 0.696)

Least stable structure: model B

Model A:
A crystal of Li2TiVO4 relaxed with PBEsol, computed with SCAN.

Properties
Its theoretical density is 4.23 g/cm3. Its calculated volume is 8.67 Å³ per atom.

abc: 5.812 5.812 5.812
angles: 120.36 119.70 89.95
Sites, in units of the cell vectors:
Li (0.000, 0.000, 0.000)
Li (0.500, 0.000, 0.000)
Li (0.500, 0.000, 0.500)
Li (0.500, 0.500, 0.500)
Ti (0.000, 0.500, 0.500)
Ti (0.500, 0.500, 0.000)
V (0.000, 0.000, 0.500)
V (0.000, 0.500, 0.000)
O (0.238, 0.745, 0.492)
O (0.247, 0.255, 0.992)
O (0.248, 0.257, 0.509)
O (0.248, 0.740, 0.991)
O (0.752, 0.260, 0.009)
O (0.752, 0.743, 0.491)
O (0.753, 0.745, 0.008)
O (0.762, 0.255, 0.508)

Model B:
A crystal of Li2TiVO4 relaxed with PBEsol, computed with SCAN.

Properties
Its theoretical density is 4.25 g/cm3. Its calculated volume is 8.64 Å³ per atom.

abc: 7.527 7.527 5.195
angles: 101.90 101.90 98.32
Sites, in units of the cell vectors:
Li (0.000, 0.000, 0.000)
Li (0.125, 0.375, 0.004)
Li (0.249, 0.751, 0.000)
Li (0.375, 0.125, 0.004)
Li (0.500, 0.500, 0.000)
Li (0.625, 0.875, 0.996)
Li (0.751, 0.249, 0.000)
Li (0.875, 0.625, 0.996)
Ti (0.000, 0.500, 0.500)
Ti (0.242, 0.242, 0.507)
Ti (0.500, 0.000, 0.500)
Ti (0.758, 0.758, 0.493)
V (0.106, 0.894, 0.500)
V (0.379, 0.621, 0.500)
V (0.621, 0.379, 0.500)
V (0.894, 0.106, 0.500)
O (0.001, 0.748, 0.738)
O (0.129, 0.633, 0.276)
O (0.130, 0.130, 0.771)
O (0.246, 0.497, 0.738)
O (0.252, 0.999, 0.262)
O (0.367, 0.871, 0.724)
O (0.375, 0.375, 0.265)
O (0.497, 0.246, 0.738)
O (0.503, 0.754, 0.262)
O (0.625, 0.625, 0.735)
O (0.633, 0.129, 0.276)
O (0.748, 0.001, 0.738)
O (0.754, 0.503, 0.262)
O (0.870, 0.870, 0.229)
O (0.871, 0.367, 0.724)
O (0.999, 0.252, 0.262)

Least stable structure: model B

Model A:
A crystal of Li2TiVO4 relaxed with PBEsol, computed with SCAN.

Properties
Its theoretical density is 4.46 g/cm3. Its calculated volume is 8.23 Å³ per atom.

abc: 4.998 4.998 4.998
angles: 132.88 132.88 68.85
Sites, in units of the cell vectors:
Li (0.000, 0.000, 0.000)
Li (0.750, 0.250, 0.500)
Ti (0.250, 0.750, 0.500)
V (0.500, 0.500, 0.000)
O (0.000, 0.500, 0.500)
O (0.250, 0.250, 0.000)
O (0.500, 0.000, 0.500)
O (0.750, 0.750, 0.000)

Model B:
A crystal of Li2TiVO4 relaxed with PBEsol, computed with SCAN.

Properties
Its theoretical density is 4.22 g/cm3. Its calculated volume is 8.68 Å³ per atom.

abc: 4.945 2.863 5.178
angles: 90.00 108.69 90.00
Sites, in units of the cell vectors:
Li (0.000, 0.000, 0.000)
Li (0.500, 0.500, 0.000)
Ti (0.000, 0.500, 0.500)
V (0.500, 0.000, 0.500)
O (0.244, 0.000, 0.738)
O (0.254, 0.500, 0.262)
O (0.746, 0.500, 0.738)
O (0.756, 0.000, 0.262)

Model C:
A crystal of Li2TiVO4 relaxed with PBEsol, computed with SCAN.

Properties
Its theoretical density is 4.44 g/cm3. Its calculated volume is 8.26 Å³ per atom.

abc: 5.665 5.665 9.161
angles: 108.01 108.01 90.00
Each line ends with the local moment (μB).
Sites, in units of the cell vectors:
O (0.375, 0.875, 0.749)  0.03
O (0.749, 0.749, 0.997)  0.01
O (0.499, 0.499, 0.499)  0.01
O (0.875, 0.375, 0.749)  0.03
O (0.375, 0.375, 0.750)  0.01
O (0.125, 0.625, 0.251)  0.03
O (0.001, 0.501, 0.501)  0.01
O (0.625, 0.125, 0.251)  0.03
O (0.751, 0.251, 0.003)  0.01
O (0.251, 0.751, 0.003)  0.01
O (0.249, 0.249, 0.997)  0.01
O (0.875, 0.875, 0.750)  0.00
O (0.625, 0.625, 0.250)  0.01
O (0.999, 0.999, 0.499)  0.01
O (0.501, 0.001, 0.501)  0.01
O (0.125, 0.125, 0.250)  0.00
Ti (0.124, 0.124, 0.748)  -0.11
Ti (0.376, 0.876, 0.252)  -0.11
Ti (0.624, 0.624, 0.748)  -0.11
Ti (0.876, 0.376, 0.252)  -0.11
Li (0.250, 0.250, 0.500)  0.00
Li (0.500, 0.000, 0.000)  0.00
Li (0.874, 0.874, 0.248)  0.00
Li (0.374, 0.374, 0.248)  0.00
Li (0.626, 0.126, 0.752)  0.00
Li (0.750, 0.750, 0.500)  0.00
Li (0.126, 0.626, 0.752)  0.00
Li (0.000, 0.500, 0.000)  0.00
V (0.250, 0.750, 0.500)  1.91
V (0.500, 0.500, 0.000)  -1.92
V (0.000, 0.000, 0.000)  1.98
V (0.750, 0.250, 0.500)  1.91

Least stable structure: model A